Run w
GGA-PBE Cs2LiAlI6, optimized geometry; space-group type = I4/mmm (139)
1.0
-4.1459 4.1459 5.8754
4.1459 -4.1459 5.8754
4.1459 4.1459 -5.8754
Cs Li Al I
2 1 1 6
direct
0.2500 0.7500 0.5000
0.7500 0.2500 0.5000
0.0000 0.0000 0.0000
0.5000 0.5000 0.0000
0.2611 0.2611 0.5222
0.2611 0.7389 0.0000
0.2619 0.2619 0.0000
0.7381 0.7381 0.0000
0.7389 0.2611 0.0000
0.7389 0.7389 0.4778

***

Run x
GGA-PBE Cs2LiAlI6, optimized geometry; space-group type = P-3m1 (164)
1.0
8.3129 0.0000 0.0000
-4.1564 7.1992 0.0000
0.0000 0.0000 7.1231
Cs Li Al I
2 1 1 6
direct
0.3333 0.6667 0.2214
0.6667 0.3333 0.7786
0.0000 0.0000 0.5000
0.0000 0.0000 0.0000
0.1574 0.3149 0.7701
0.1574 0.8426 0.7701
0.3149 0.1574 0.2299
0.6851 0.8426 0.7701
0.8426 0.1574 0.2299
0.8426 0.6851 0.2299

***

run x is the most stable structure; the next one sits 4.4 kJ/mol of atoms above it.

***

Run w
GGA-PBE CsAlI2N, optimized geometry; space-group type = P4/mmm (123)
1.0
7.0107 0.0000 0.0000
0.0000 7.0107 0.0000
0.0000 0.0000 4.5946
Cs Al I N
1 1 2 1
direct
0.0000 0.0000 0.0000
0.5000 0.5000 0.5000
0.0000 0.5000 0.0000
0.5000 0.0000 0.0000
0.0000 0.0000 0.5000

***

Run x
GGA-PBE CsAlI2N, optimized geometry; space-group type = P4/mmm (123)
1.0
6.6144 0.0000 0.0000
0.0000 6.6144 0.0000
0.0000 0.0000 3.5479
Cs Al I N
1 1 2 1
direct
0.0000 0.0000 0.0000
0.5000 0.5000 0.5000
0.0000 0.5000 0.5000
0.5000 0.0000 0.5000
0.5000 0.5000 0.0000

***

run x is the most stable structure; the next one sits 135.5 kJ/mol of atoms above it.

***

Run w
GGA-PBE CsAlTeI2, optimized geometry; space-group type = P4/mmm (123)
1.0
5.9471 0.0000 0.0000
0.0000 5.9471 0.0000
0.0000 0.0000 5.4273
Cs Al Te I
1 1 1 2
direct
0.0000 0.0000 0.0000
0.5000 0.5000 0.5000
0.5000 0.5000 0.0000
0.0000 0.5000 0.5000
0.5000 0.0000 0.5000

***

Run x
GGA-PBE CsAlTeI2, optimized geometry; space-group type = P4/mmm (123)
1.0
7.1856 0.0000 0.0000
0.0000 7.1856 0.0000
0.0000 0.0000 6.9262
Cs Al Te I
1 1 1 2
direct
0.0000 0.0000 0.0000
0.5000 0.5000 0.5000
0.0000 0.0000 0.5000
0.0000 0.5000 0.0000
0.5000 0.0000 0.0000

***

run w is the most stable structure; the next one sits 97.3 kJ/mol of atoms above it.

***

Run w
GGA-PBE Cs2AlTlI6, optimized geometry; space-group type = Fm-3m (225)
1.0
0.0000 6.1538 6.1538
6.1538 0.0000 6.1538
6.1538 6.1538 0.0000
Cs Al Tl I
2 1 1 6
direct
0.2500 0.2500 0.2500
0.7500 0.7500 0.7500
0.0000 0.0000 0.0000
0.5000 0.5000 0.5000
0.2266 0.2266 0.7734
0.2266 0.7734 0.2266
0.2266 0.7734 0.7734
0.7734 0.2266 0.2266
0.7734 0.2266 0.7734
0.7734 0.7734 0.2266

***

Run x
GGA-PBE Cs2AlTlI6, optimized geometry; space-group type = P-3m1 (164)
1.0
8.3970 0.0000 0.0000
-4.1985 7.2720 0.0000
0.0000 0.0000 8.4766
Cs Al Tl I
2 1 1 6
direct
0.3333 0.6667 0.3344
0.6667 0.3333 0.6656
0.0000 0.0000 0.5000
0.0000 0.0000 0.0000
0.1578 0.3157 0.6910
0.1578 0.8422 0.6910
0.3157 0.1578 0.3090
0.6843 0.8422 0.6910
0.8422 0.1578 0.3090
0.8422 0.6843 0.3090

***

run x is the most stable structure; the next one sits 1.1 kJ/mol of atoms above it.

***

Run w
GGA-PBE CsAl2In2, optimized geometry; space-group type = I4/mmm (139)
1.0
-2.4044 2.4044 6.3529
2.4044 -2.4044 6.3529
2.4044 2.4044 -6.3529
Cs Al In
1 2 2
direct
0.0000 0.0000 0.0000
0.2500 0.7500 0.5000
0.7500 0.2500 0.5000
0.3776 0.3776 0.0000
0.6224 0.6224 0.0000

***

Run x
GGA-PBE CsAl2In2, optimized geometry; space-group type = P4/mbm (127)
1.0
9.2729 0.0000 0.0000
0.0000 9.2729 0.0000
0.0000 0.0000 3.2511
Cs Al In
2 4 4
direct
0.0000 0.0000 0.0000
0.5000 0.5000 0.0000
0.1344 0.3656 0.0000
0.3656 0.8656 0.0000
0.6344 0.1344 0.0000
0.8656 0.6344 0.0000
0.1495 0.6495 0.5000
0.3505 0.1495 0.5000
0.6495 0.8505 0.5000
0.8505 0.3505 0.5000

***

Run y
GGA-PBE CsAl2In2, optimized geometry; space-group type = P4/mbm (127)
1.0
9.3186 0.0000 0.0000
0.0000 9.3186 0.0000
0.0000 0.0000 3.2722
Cs Al In
2 4 4
direct
0.0000 0.0000 0.0000
0.5000 0.5000 0.0000
0.1459 0.3541 0.5000
0.3541 0.8541 0.5000
0.6459 0.1459 0.5000
0.8541 0.6459 0.5000
0.1359 0.6359 0.0000
0.3641 0.1359 0.0000
0.6359 0.8641 0.0000
0.8641 0.3641 0.0000

***

Run z
GGA-PBE CsAl2In2, optimized geometry; space-group type = I4/mmm (139)
1.0
-2.4597 2.4597 6.0334
2.4597 -2.4597 6.0334
2.4597 2.4597 -6.0334
Cs Al In
1 2 2
direct
0.0000 0.0000 0.0000
0.3856 0.3856 0.0000
0.6144 0.6144 0.0000
0.2500 0.7500 0.5000
0.7500 0.2500 0.5000

***

run z is the most stable structure; the next one sits 1.0 kJ/mol of atoms above it.

***

Run w
GGA-PBE CsAl3Ir, optimized geometry; space-group type = Pm-3m (221)
1.0
5.5082 0.0000 0.0000
0.0000 5.5082 0.0000
0.0000 0.0000 5.5082
Cs Al Ir
1 3 1
direct
0.0000 0.0000 0.0000
0.0000 0.0000 0.5000
0.0000 0.5000 0.0000
0.5000 0.0000 0.0000
0.5000 0.5000 0.5000

***

Run x
GGA-PBE CsAl3Ir, optimized geometry; space-group type = Pm-3m (221)
1.0
4.9123 0.0000 0.0000
0.0000 4.9123 0.0000
0.0000 0.0000 4.9123
Cs Al Ir
1 3 1
direct
0.0000 0.0000 0.0000
0.0000 0.5000 0.5000
0.5000 0.0000 0.5000
0.5000 0.5000 0.0000
0.5000 0.5000 0.5000

***

run x is the most stable structure; the next one sits 268.9 kJ/mol of atoms above it.